Tl2TcRu: optimized geometry, PBE-GGA.

Geometry as POSCAR:
```
Tl2TcRu
1.0
3.062 -0.032 0.000
-1.423 2.712 0.000
0.000 0.000 9.226
Ru Tc Tl
1 1 2
Direct
0.500 0.500 0.250
0.500 0.500 0.750
0.000 0.000 0.004
0.000 0.000 0.496
```

Summary:
The relative energy among the computed polymorphs is 448 meV/atom. As for the theoretical density: 13.243 g cm⁻³. The energy comes out at -5.2537 eV per atom. As for the space-group type: Cmmm, No. 65. As for the total magnetization: 1.17 Bohr magnetons per cell. The formation energy from the elements is 3.36 eV per formula unit.